No. 1
# LaHf2TiSb

A relaxed LaHf2TiSb crystal (PBE, the Alexandria database).

## Properties
formation energy without anion corrections: 2.86 eV/f.u.

abc: 5.367 5.078 5.367
angles: 90.00 90.00 90.00
Positions (direct):
Ti (0.000, 0.500, 0.000)
Hf (0.500, 0.000, 0.000)
Hf (0.000, 0.000, 0.500)
La (0.500, 0.500, 0.500)
Sb (0.000, 0.000, 0.000)

=====

No. 2
# LaY2HfSb

A relaxed LaY2HfSb crystal (PBE, the Alexandria database).

## Properties
formation energy without anion corrections: 1.46 eV/f.u.

abc: 5.499 5.499 5.550
angles: 90.00 90.00 90.00
Positions (direct):
La (0.500, 0.500, 0.500)
Y (0.500, 0.000, 0.000)
Y (0.000, 0.500, 0.000)
Hf (0.000, 0.000, 0.000)
Sb (0.000, 0.000, 0.500)

=====

No. 3
# La2HfSc

A relaxed La2HfSc crystal (PBE, the Alexandria database).

## Properties
formation energy: 164.8 meV per atom
energy relative to the lowest polymorph listed for this composition: 0.000 eV per formula unit

abc: 3.498 3.498 9.480
angles: 90.00 90.00 90.00
Positions (direct):
La (0.000, 0.000, 0.256)
La (0.000, 0.000, 0.744)
Sc (0.500, 0.500, 0.000)
Hf (0.500, 0.500, 0.500)

=====

No. 4
# LaHf3Sc

A relaxed LaHf3Sc crystal (PBE, the Alexandria database).

## Properties
formation energy: 943.8 meV per atom
energy relative to the lowest polymorph listed for this composition: 0.000 eV per formula unit

abc: 5.180 5.180 5.180
angles: 90.00 90.00 90.00
Positions (direct):
Sc (0.000, 0.000, 0.000)
Hf (0.000, 0.000, 0.500)
Hf (0.500, 0.000, 0.000)
Hf (0.000, 0.500, 0.000)
La (0.500, 0.500, 0.500)

=====

No. 5
# La2HfSc

A relaxed La2HfSc crystal (PBE, the Alexandria database).

## Properties
formation energy: 200.5 meV per atom
energy relative to the lowest polymorph listed for this composition: 0.143 eV per formula unit

abc: 5.464 5.464 5.464
angles: 60.00 60.00 60.00
Positions (direct):
La (0.250, 0.250, 0.250)
La (0.750, 0.750, 0.750)
Hf (0.500, 0.500, 0.500)
Sc (0.000, 0.000, 0.000)

=====

No. 6
# LaHfSc3

A relaxed LaHfSc3 crystal (PBE, the Alexandria database).

## Properties
formation energy: 1034.7 meV per atom
energy relative to the lowest polymorph listed for this composition: 2.499 eV per formula unit

abc: 5.129 5.129 5.129
angles: 90.00 90.00 90.00
Positions (direct):
Sc (0.500, 0.000, 0.000)
Sc (0.000, 0.500, 0.000)
Sc (0.000, 0.000, 0.500)
La (0.000, 0.000, 0.000)
Hf (0.500, 0.500, 0.500)

=====

No. 7
# La2HfSc

A relaxed La2HfSc crystal (PBE, the Alexandria database).

## Properties
formation energy: 183.1 meV per atom
energy relative to the lowest polymorph listed for this composition: 0.073 eV per formula unit

abc: 4.661 4.988 4.988
angles: 90.00 90.00 90.00
Positions (direct):
La (0.000, 0.500, 0.000)
La (0.000, 0.000, 0.500)
Hf (0.500, 0.000, 0.000)
Sc (0.500, 0.500, 0.500)

=====

No. 8
# La2HfSc2

A relaxed La2HfSc2 crystal (PBE, the Alexandria database).

## Properties
formation energy: 334.2 meV per atom

abc: 9.050 9.050 3.443
angles: 90.00 90.00 90.00
Positions (direct):
Sc (0.877, 0.623, 0.000)
Sc (0.123, 0.377, 0.000)
Sc (0.623, 0.123, 0.000)
Sc (0.377, 0.877, 0.000)
Hf (0.000, 0.000, 0.000)
Hf (0.500, 0.500, 0.000)
La (0.322, 0.178, 0.500)
La (0.678, 0.822, 0.500)
La (0.178, 0.678, 0.500)
La (0.822, 0.322, 0.500)

=====

No. 9
# LaHf2Sc6

A relaxed LaHf2Sc6 crystal (PBE, the Alexandria database).

## Properties
formation energy: 154.9 meV per atom

abc: 3.241 3.241 25.170
angles: 90.00 90.00 120.00
Positions (direct):
Sc (0.667, 0.333, 0.344)
Sc (0.667, 0.333, 0.778)
Sc (0.333, 0.667, 0.879)
Sc (0.333, 0.667, 0.121)
Sc (0.667, 0.333, 0.222)
Sc (0.667, 0.333, 0.656)
Hf (0.333, 0.667, 0.441)
Hf (0.333, 0.667, 0.559)
La (0.667, 0.333, 0.000)

=====

No. 10
# LaHf2Sc2

A relaxed LaHf2Sc2 crystal (PBE, the Alexandria database).

## Properties
formation energy: 177.8 meV per atom
energy relative to the lowest polymorph listed for this composition: 0.193 eV per formula unit

abc: 8.894 8.894 3.289
angles: 90.00 90.00 90.00
Positions (direct):
Hf (0.328, 0.172, 0.500)
Hf (0.672, 0.828, 0.500)
Hf (0.828, 0.328, 0.500)
Hf (0.172, 0.672, 0.500)
La (0.000, 0.000, 0.000)
La (0.500, 0.500, 0.000)
Sc (0.121, 0.379, 0.000)
Sc (0.879, 0.621, 0.000)
Sc (0.621, 0.121, 0.000)
Sc (0.379, 0.879, 0.000)

=====

No. 11
# La3HfSc

A relaxed La3HfSc crystal (PBE, the Alexandria database).

## Properties
formation energy: 955.2 meV per atom
energy relative to the lowest polymorph listed for this composition: 1.353 eV per formula unit

abc: 5.581 5.581 5.581
angles: 90.00 90.00 90.00
Positions (direct):
La (0.000, 0.000, 0.500)
La (0.500, 0.000, 0.000)
La (0.000, 0.500, 0.000)
Sc (0.000, 0.000, 0.000)
Hf (0.500, 0.500, 0.500)

=====

No. 12
# LaHfSc2

A relaxed LaHfSc2 crystal (PBE, the Alexandria database).

## Properties
formation energy: 147.8 meV per atom
energy relative to the lowest polymorph listed for this composition: 0.196 eV per formula unit

abc: 4.638 4.743 4.743
angles: 90.00 90.00 90.00
Positions (direct):
Hf (0.500, 0.000, 0.000)
Sc (0.000, 0.000, 0.500)
Sc (0.000, 0.500, 0.000)
La (0.500, 0.500, 0.500)

=====

No. 13
# LaHf3Sc

A relaxed LaHf3Sc crystal (PBE, the Alexandria database).

## Properties
formation energy: 1314.8 meV per atom
energy relative to the lowest polymorph listed for this composition: 1.855 eV per formula unit

abc: 5.151 5.151 5.151
angles: 90.00 90.00 90.00
Positions (direct):
Sc (0.500, 0.500, 0.500)
Hf (0.000, 0.000, 0.500)
Hf (0.000, 0.500, 0.000)
Hf (0.500, 0.000, 0.000)
La (0.000, 0.000, 0.000)

=====

No. 14
# LaHfSc2

A relaxed LaHfSc2 crystal (PBE, the Alexandria database).

## Properties
formation energy: 106.5 meV per atom
energy relative to the lowest polymorph listed for this composition: 0.031 eV per formula unit

abc: 3.319 3.319 11.168
angles: 81.46 81.46 60.00
Positions (direct):
Hf (0.666, 0.666, 0.001)
Sc (0.258, 0.258, 0.226)
Sc (0.075, 0.075, 0.775)
La (0.501, 0.501, 0.498)

=====

No. 15
# LaHfSc2

A relaxed LaHfSc2 crystal (PBE, the Alexandria database).

## Properties
formation energy: 146.9 meV per atom
energy relative to the lowest polymorph listed for this composition: 0.193 eV per formula unit

abc: 3.820 3.820 7.315
angles: 90.00 90.00 90.00
Positions (direct):
Sc (0.000, 0.000, 0.787)
Sc (0.000, 0.000, 0.213)
Hf (0.500, 0.500, 0.000)
La (0.500, 0.500, 0.500)

=====

No. 16
# La2Hf2Sc

A relaxed La2Hf2Sc crystal (PBE, the Alexandria database).

## Properties
formation energy: 345.5 meV per atom

abc: 9.110 9.110 3.439
angles: 90.00 90.00 90.00
Positions (direct):
Sc (0.000, 0.000, 0.000)
Sc (0.500, 0.500, 0.000)
Hf (0.617, 0.117, 0.000)
Hf (0.383, 0.883, 0.000)
Hf (0.883, 0.617, 0.000)
Hf (0.117, 0.383, 0.000)
La (0.818, 0.318, 0.500)
La (0.682, 0.818, 0.500)
La (0.182, 0.682, 0.500)
La (0.318, 0.182, 0.500)

=====

No. 17
# La3HfSc

A relaxed La3HfSc crystal (PBE, the Alexandria database).

## Properties
formation energy: 684.6 meV per atom
energy relative to the lowest polymorph listed for this composition: 0.000 eV per formula unit

abc: 5.762 5.762 5.762
angles: 90.00 90.00 90.00
Positions (direct):
Sc (0.500, 0.500, 0.500)
Hf (0.000, 0.000, 0.000)
La (0.000, 0.000, 0.500)
La (0.500, 0.000, 0.000)
La (0.000, 0.500, 0.000)

=====

No. 18
# LaHfSc2

A relaxed LaHfSc2 crystal (PBE, the Alexandria database).

## Properties
formation energy: 98.7 meV per atom
energy relative to the lowest polymorph listed for this composition: 0.000 eV per formula unit

abc: 3.326 3.326 11.053
angles: 81.35 81.35 60.00
Positions (direct):
Sc (0.743, 0.743, 0.771)
Sc (0.257, 0.257, 0.229)
La (0.500, 0.500, 0.500)
Hf (0.000, 0.000, 0.000)

=====

No. 19
# LaHf2Sc2

A relaxed LaHf2Sc2 crystal (PBE, the Alexandria database).

## Properties
formation energy: 139.2 meV per atom
energy relative to the lowest polymorph listed for this composition: 0.000 eV per formula unit

abc: 8.814 8.814 3.372
angles: 90.00 90.00 90.00
Positions (direct):
Sc (0.672, 0.828, 0.500)
Sc (0.172, 0.672, 0.500)
Sc (0.328, 0.172, 0.500)
Sc (0.828, 0.328, 0.500)
Hf (0.117, 0.383, 0.000)
Hf (0.617, 0.117, 0.000)
Hf (0.383, 0.883, 0.000)
Hf (0.883, 0.617, 0.000)
La (0.500, 0.500, 0.000)
La (0.000, 0.000, 0.000)

=====

No. 20
# La2HfSc

A relaxed La2HfSc crystal (PBE, the Alexandria database).

## Properties
formation energy: 599.7 meV per atom
energy relative to the lowest polymorph listed for this composition: 1.740 eV per formula unit

abc: 8.577 8.577 6.869
angles: 51.37 51.37 90.00
Positions (direct):
Hf (0.750, 0.250, 0.500)
Hf (0.000, 0.000, 0.000)
Sc (0.250, 0.750, 0.500)
Sc (0.500, 0.500, 0.000)
La (0.123, 0.625, 0.250)
La (0.875, 0.877, 0.750)
La (0.375, 0.373, 0.750)
La (0.627, 0.125, 0.250)

=====

No. 21
# LaHfSc3

A relaxed LaHfSc3 crystal (PBE, the Alexandria database).

## Properties
formation energy: 534.8 meV per atom
energy relative to the lowest polymorph listed for this composition: 0.000 eV per formula unit

abc: 5.318 5.318 5.318
angles: 90.00 90.00 90.00
Positions (direct):
La (0.500, 0.500, 0.500)
Hf (0.000, 0.000, 0.000)
Sc (0.500, 0.000, 0.000)
Sc (0.000, 0.500, 0.000)
Sc (0.000, 0.000, 0.500)

=====

No. 22
# La2HfSc

A relaxed La2HfSc crystal (PBE, the Alexandria database).

## Properties
formation energy: 367.7 meV per atom
energy relative to the lowest polymorph listed for this composition: 0.812 eV per formula unit

abc: 3.315 3.315 12.198
angles: 82.19 82.19 60.00
Positions (direct):
Sc (0.500, 0.500, 0.500)
La (0.085, 0.085, 0.745)
La (0.915, 0.915, 0.255)
Hf (0.000, 0.000, 0.000)

=====

No. 23
# LaHfSc2

A relaxed LaHfSc2 crystal (PBE, the Alexandria database).

## Properties
formation energy: 175.1 meV per atom
energy relative to the lowest polymorph listed for this composition: 0.306 eV per formula unit

abc: 5.280 5.280 5.280
angles: 60.00 60.00 60.00
Positions (direct):
La (0.000, 0.000, 0.000)
Sc (0.250, 0.250, 0.250)
Sc (0.750, 0.750, 0.750)
Hf (0.500, 0.500, 0.500)

=====

No. 24
# SrLa2HfSc

A relaxed SrLa2HfSc crystal (PBE, the Alexandria database).

## Properties
formation energy: 458.4 meV per atom

abc: 5.907 5.529 5.907
angles: 90.00 90.00 90.00
Positions (direct):
Hf (0.000, 0.000, 0.000)
La (0.500, 0.000, 0.000)
La (0.000, 0.000, 0.500)
Sc (0.000, 0.500, 0.000)
Sr (0.500, 0.500, 0.500)

=====

No. 25
# LaHfSc2Ti

A relaxed LaHfSc2Ti crystal (PBE, the Alexandria database).

## Properties
formation energy: 1285.6 meV per atom

abc: 5.049 5.236 5.049
angles: 90.00 90.00 90.00
Positions (direct):
Sc (0.500, 0.000, 0.000)
Sc (0.000, 0.000, 0.500)
Hf (0.000, 0.500, 0.000)
La (0.000, 0.000, 0.000)
Ti (0.500, 0.500, 0.500)

=====

No. 26
# LaHfSe2

A relaxed LaHfSe2 crystal (PBE, the Alexandria database).

## Properties
energy relative to the lowest polymorph listed for this composition: 0.950 eV per formula unit
formation energy without anion corrections: -3.71 eV/f.u.

abc: 6.315 6.315 7.812
angles: 66.16 66.16 90.00
Positions (direct):
La (0.250, 0.750, 0.500)
La (0.500, 0.500, 0.000)
Se (0.875, 0.924, 0.750)
Se (0.076, 0.625, 0.250)
Se (0.674, 0.125, 0.250)
Se (0.375, 0.326, 0.750)
Hf (0.000, 0.000, 0.000)
Hf (0.750, 0.250, 0.500)

=====

No. 27
# LaHfSe2

A relaxed LaHfSe2 crystal (PBE, the Alexandria database).

## Properties
energy relative to the lowest polymorph listed for this composition: 0.000 eV per formula unit
formation energy without anion corrections: -4.66 eV/f.u.

abc: 4.987 4.987 4.987
angles: 60.00 60.00 60.00
Positions (direct):
Se (0.250, 0.250, 0.250)
Se (0.750, 0.750, 0.750)
Hf (0.500, 0.500, 0.500)
La (0.000, 0.000, 0.000)

=====

No. 28
# La2HfSe6

A relaxed La2HfSe6 crystal (PBE, the Alexandria database).

## Properties
formation energy without anion corrections: -12.40 eV/f.u.

abc: 4.866 7.330 7.971
angles: 117.37 100.44 90.00
Positions (direct):
La (0.666, 0.666, 0.332)
La (0.334, 0.334, 0.668)
Se (0.157, 0.914, 0.309)
Se (0.157, 0.394, 0.309)
Se (0.500, 0.217, 0.000)
Se (0.500, 0.783, 0.000)
Se (0.843, 0.086, 0.691)
Se (0.843, 0.606, 0.691)
Hf (0.000, 0.000, 0.000)

=====

For the records above, the corresponding energy values read -6.80 -6.09 -6.37 -7.28 -6.33 -5.74 -6.35 -6.16 -6.83 -7.32 -5.26 -6.74 -6.91 -6.78 -6.74 -6.87 -5.53 -6.79 -7.36 -5.94 -6.24 -6.17 -6.71 -5.11 -5.80 -6.39 -6.63 -5.90 eV per atom.